[1]
# CaZr2Os

Crystalline CaZr2Os at its relaxed geometry (GGA-PBE, the Alexandria database).

Summary:
formation energy from the elements: 268 meV/atom
space group: I-42d, No. 122
offset from the most stable computed form: 284 meV per atom

abc: 8.040 8.040 6.453
angles: 51.47 51.47 90.00
Fractional positions:
1 Ca 0.500 0.500 0.000
2 Ca 0.250 0.750 0.500
3 Os 0.000 0.000 0.000
4 Os 0.750 0.250 0.500
5 Zr 0.692 0.125 0.250
6 Zr 0.058 0.625 0.250
7 Zr 0.375 0.308 0.750
8 Zr 0.875 0.942 0.750

=====

[2]
# CaZrOs

Crystalline CaZrOs at its relaxed geometry (GGA-PBE, the Alexandria database).

Summary:
formation energy from the elements: -99 meV/atom
space group: P4/nmm, No. 129
offset from the most stable computed form: 6 meV per atom

abc: 3.408 3.408 11.964
angles: 90.00 90.00 90.00
Fractional positions:
1 Ca 0.000 0.500 0.363
2 Ca 0.500 0.000 0.637
3 Os 0.000 0.500 0.802
4 Os 0.500 0.000 0.198
5 Zr 0.000 0.500 0.089
6 Zr 0.500 0.000 0.911

=====

[3]
# CaP3

Crystalline CaP3 at its relaxed geometry (GGA-PBE, the Alexandria database).

Summary:
formation energy from the elements: 1430 meV/atom
space group: Pm-3m, No. 221

abc: 5.303 5.303 5.303
angles: 90.00 90.00 90.00
Fractional positions:
1 Ca 0.000 0.000 0.000
2 P 0.500 0.000 0.000
3 P 0.000 0.500 0.000
4 P 0.000 0.000 0.500

=====

[4]
# Ca3P

Crystalline Ca3P at its relaxed geometry (GGA-PBE, the Alexandria database).

Summary:
formation energy from the elements: -435 meV/atom
space group: Pmm2, No. 25
offset from the most stable computed form: 195 meV per atom

abc: 3.865 3.997 9.340
angles: 90.00 90.00 90.00
Fractional positions:
1 P 0.000 0.000 0.003
2 Ca 0.000 0.500 0.464
3 Ca 0.500 0.500 0.088
4 Ca 0.500 0.000 0.779

=====

[5]
# Ca2P

Crystalline Ca2P at its relaxed geometry (GGA-PBE, the Alexandria database).

Summary:
formation energy from the elements: -860 meV/atom
space group: C2/m, No. 12

abc: 7.058 7.058 7.305
angles: 79.85 79.85 34.92
Fractional positions:
1 Ca 0.113 0.113 0.871
2 Ca 0.331 0.331 0.129
3 Ca 0.613 0.613 0.371
4 Ca 0.831 0.831 0.629
5 P 0.722 0.722 0.000
6 P 0.222 0.222 0.500

=====

[6]
# CaP3

Crystalline CaP3 at its relaxed geometry (GGA-PBE, the Alexandria database).

Summary:
formation energy from the elements: -285 meV/atom
space group: Cmcm, No. 63

abc: 8.252 8.252 3.974
angles: 90.00 90.00 139.02
Fractional positions:
1 Ca 0.700 0.300 0.250
2 Ca 0.300 0.700 0.750
3 P 0.161 0.839 0.250
4 P 0.839 0.161 0.750
5 P 0.082 0.294 0.250
6 P 0.918 0.706 0.750
7 P 0.294 0.082 0.750
8 P 0.706 0.918 0.250

=====

[7]
# CaP3

Crystalline CaP3 at its relaxed geometry (GGA-PBE, the Alexandria database).

Summary:
formation energy from the elements: -366 meV/atom
space group: P2/m, No. 10

abc: 3.681 4.633 4.990
angles: 74.64 90.00 90.00
Fractional positions:
1 Ca 0.000 0.000 0.000
2 P 0.500 0.627 0.784
3 P 0.000 0.500 0.500
4 P 0.500 0.373 0.216

=====

[8]
# Ca2P

Crystalline Ca2P at its relaxed geometry (GGA-PBE, the Alexandria database).

Summary:
formation energy from the elements: -643 meV/atom
space group: P6_3/mmc, No. 194

abc: 5.057 5.057 6.502
angles: 90.00 90.00 120.00
Fractional positions:
1 Ca 0.000 0.000 0.000
2 Ca 0.000 0.000 0.500
3 Ca 0.333 0.667 0.250
4 Ca 0.667 0.333 0.750
5 P 0.667 0.333 0.250
6 P 0.333 0.667 0.750

=====

[9]
# Ca3P2

Crystalline Ca3P2 at its relaxed geometry (GGA-PBE, the Alexandria database).

Summary:
formation energy from the elements: -1133 meV/atom
space group: C2/m, No. 12
offset from the most stable computed form: 0 meV per atom

abc: 4.470 8.864 10.811
angles: 98.07 90.00 104.60
Fractional positions:
1 Ca 0.827 0.654 0.028
2 Ca 0.173 0.346 0.972
3 Ca 0.793 0.587 0.375
4 Ca 0.207 0.413 0.625
5 Ca 0.129 0.258 0.287
6 Ca 0.871 0.742 0.713
7 Ca 0.472 0.943 0.340
8 Ca 0.528 0.057 0.660
9 Ca 0.500 0.000 0.000
10 P 0.639 0.278 0.483
11 P 0.361 0.722 0.517
12 P 0.683 0.366 0.137
13 P 0.317 0.634 0.863
14 P 0.967 0.935 0.185
15 P 0.033 0.065 0.815

=====

[10]
# Ca2P

Crystalline Ca2P at its relaxed geometry (GGA-PBE, the Alexandria database).

Summary:
formation energy from the elements: 160 meV/atom
space group: P6_3/mmc, No. 194

abc: 7.398 7.398 8.775
angles: 90.00 90.00 120.00
Fractional positions:
1 P 0.333 0.667 0.996
2 P 0.667 0.333 0.496
3 P 0.667 0.333 0.004
4 P 0.333 0.667 0.504
5 Ca 0.000 0.000 0.000
6 Ca 0.000 0.000 0.500
7 Ca 0.810 0.619 0.250
8 Ca 0.190 0.381 0.750
9 Ca 0.381 0.190 0.250
10 Ca 0.810 0.190 0.250
11 Ca 0.190 0.810 0.750
12 Ca 0.619 0.810 0.750

=====

[11]
# CaP4

Crystalline CaP4 at its relaxed geometry (GGA-PBE, the Alexandria database).

Summary:
formation energy from the elements: -195 meV/atom
space group: I4/mmm, No. 139
offset from the most stable computed form: 290 meV per atom

abc: 5.658 5.658 5.658
angles: 131.65 131.65 70.78
Fractional positions:
1 Ca 0.000 0.000 0.000
2 P 0.750 0.250 0.500
3 P 0.250 0.750 0.500
4 P 0.689 0.689 0.000
5 P 0.311 0.311 0.000

=====

[12]
# CaP3

Crystalline CaP3 at its relaxed geometry (GGA-PBE, the Alexandria database).

Summary:
formation energy from the elements: -236 meV/atom
space group: I4/mmm, No. 139

abc: 11.285 11.285 11.285
angles: 161.04 161.04 26.95
Fractional positions:
1 Ca 0.646 0.646 0.000
2 Ca 0.354 0.354 0.000
3 P 0.000 0.500 0.500
4 P 0.500 0.000 0.500
5 P 0.750 0.250 0.500
6 P 0.250 0.750 0.500
7 P 0.922 0.922 0.000
8 P 0.078 0.078 0.000

=====

[13]
# CaP3

Crystalline CaP3 at its relaxed geometry (GGA-PBE, the Alexandria database).

Summary:
formation energy from the elements: -626 meV/atom
space group: P-1, No. 2

abc: 5.609 5.635 5.691
angles: 70.15 79.61 74.63
Fractional positions:
1 Ca 0.324 0.357 0.352
2 Ca 0.676 0.643 0.648
3 P 0.005 0.200 0.999
4 P 0.995 0.800 0.001
5 P 0.127 0.822 0.606
6 P 0.873 0.178 0.394
7 P 0.401 0.200 0.898
8 P 0.599 0.800 0.102

=====

[14]
# Ca3P

Crystalline Ca3P at its relaxed geometry (GGA-PBE, the Alexandria database).

Summary:
formation energy from the elements: -613 meV/atom
space group: R-3m, No. 166
offset from the most stable computed form: 17 meV per atom

abc: 10.375 10.375 10.375
angles: 23.02 23.02 23.02
Fractional positions:
1 P 0.000 0.000 0.000
2 Ca 0.285 0.285 0.285
3 Ca 0.500 0.500 0.500
4 Ca 0.715 0.715 0.715

=====

[15]
# CaP3

Crystalline CaP3 at its relaxed geometry (GGA-PBE, the Alexandria database).

Summary:
formation energy from the elements: 204 meV/atom
space group: Fm-3m, No. 225

abc: 4.731 4.731 4.731
angles: 60.00 60.00 60.00
Fractional positions:
1 Ca 0.000 0.000 0.000
2 P 0.750 0.750 0.750
3 P 0.500 0.500 0.500
4 P 0.250 0.250 0.250

=====

[16]
# CaP3

Crystalline CaP3 at its relaxed geometry (GGA-PBE, the Alexandria database).

Summary:
formation energy from the elements: 5 meV/atom
space group: I4/mmm, No. 139

abc: 5.554 5.554 5.554
angles: 139.29 139.29 58.94
Fractional positions:
1 Ca 0.000 0.000 0.000
2 P 0.250 0.750 0.500
3 P 0.500 0.500 0.000
4 P 0.750 0.250 0.500

=====

[17]
# Ca3P

Crystalline Ca3P at its relaxed geometry (GGA-PBE, the Alexandria database).

Summary:
formation energy from the elements: -503 meV/atom
space group: P4/mmm, No. 123
offset from the most stable computed form: 127 meV per atom

abc: 3.681 3.681 9.323
angles: 90.00 90.00 90.00
Fractional positions:
1 Ca 0.000 0.000 0.911
2 Ca 0.500 0.500 0.250
3 Ca 0.000 0.000 0.589
4 P 0.500 0.500 0.750

=====

[18]
# Ca3P

Crystalline Ca3P at its relaxed geometry (GGA-PBE, the Alexandria database).

Summary:
formation energy from the elements: -44 meV/atom
space group: R-3m, No. 166
offset from the most stable computed form: 586 meV per atom

abc: 6.250 6.250 6.250
angles: 116.32 116.32 116.32
Fractional positions:
1 Ca 0.000 0.000 0.000
2 Ca 0.500 0.000 0.500
3 Ca 0.500 0.500 0.000
4 P 0.000 0.500 0.500

=====

[19]
# CaP3

Crystalline CaP3 at its relaxed geometry (GGA-PBE, the Alexandria database).

Summary:
formation energy from the elements: 94 meV/atom
space group: Pm-3n, No. 223

abc: 5.247 5.247 5.247
angles: 90.00 90.00 90.00
Fractional positions:
1 Ca 0.000 0.000 0.000
2 Ca 0.500 0.500 0.500
3 P 0.750 0.500 0.000
4 P 0.250 0.500 0.000
5 P 0.000 0.750 0.500
6 P 0.000 0.250 0.500
7 P 0.500 0.000 0.250
8 P 0.500 0.000 0.750

=====

[20]
# Ca3P2

Crystalline Ca3P2 at its relaxed geometry (GGA-PBE, the Alexandria database).

Summary:
formation energy from the elements: -942 meV/atom
space group: R-3m, No. 166
offset from the most stable computed form: 191 meV per atom

abc: 9.191 9.191 9.191
angles: 27.91 27.91 27.91
Fractional positions:
1 Ca 0.000 0.000 0.000
2 Ca 0.231 0.231 0.231
3 Ca 0.769 0.769 0.769
4 P 0.602 0.602 0.602
5 P 0.398 0.398 0.398